(1)
# PBE Al4GaGe, relaxed
# DOS at the Fermi energy ... 2.68 states/eV/cell
# Electronic total energy ... -3.630 eV per atom
# Crystal system ... monoclinic
# Formation energy ... 139.4 meV/atom
data_Al4GaGe
_chemical_formula_sum 'Al4 Ga1 Ge1'
_cell_length_a 4.023
_cell_length_b 4.838
_cell_length_c 6.103
_cell_angle_alpha 90.00
_cell_angle_beta 101.91
_cell_angle_gamma 90.00
_symmetry_space_group_name_H-M 'P 1 2/m 1'
_symmetry_Int_Tables_number 10
loop_
_symmetry_equiv_pos_as_xyz
'x,y,z'
'-x,-y,-z'
'-x,y,-z'
'x,-y,z'
loop_
_atom_site_label
_atom_site_type_symbol
_atom_site_fract_x
_atom_site_fract_y
_atom_site_fract_z
Al1 Al 0.068 0.000 0.288
Al2 Al 0.430 0.500 0.217
Ga1 Ga 0.000 0.500 0.500
Ge1 Ge 0.500 0.000 0.000

(2)
# PBE Al3GaGe, relaxed
# DOS at the Fermi energy ... 2.25 states/eV/cell
# Offset from the most stable computed form ... 0 meV/atom
# Electronic total energy ... -3.142 eV per atom
# Crystal system ... cubic
# Formation energy ... 632.9 meV/atom
data_Al3GaGe
_chemical_formula_sum 'Al3 Ga1 Ge1'
_cell_length_a 4.913
_cell_length_b 4.913
_cell_length_c 4.913
_cell_angle_alpha 90.00
_cell_angle_beta 90.00
_cell_angle_gamma 90.00
_symmetry_space_group_name_H-M 'P m -3 m'
_symmetry_Int_Tables_number 221
_symmetry_space_group_name_Hall '-P 4 2 3'
loop_
_atom_site_label
_atom_site_type_symbol
_atom_site_fract_x
_atom_site_fract_y
_atom_site_fract_z
Al1 Al 0.000 0.000 0.500
Ga1 Ga 0.500 0.500 0.500
Ge1 Ge 0.000 0.000 0.000

(3)
# PBE Al2GaGe, relaxed
# DOS at the Fermi energy ... 3.55 states/eV/cell
# Offset from the most stable computed form ... 0 meV/atom
# Electronic total energy ... -3.688 eV per atom
# Crystal system ... trigonal
# Formation energy ... 93.9 meV/atom
data_Al2GaGe
_chemical_formula_sum 'Al6 Ga3 Ge3'
_cell_length_a 4.0485
_cell_length_b 4.0485
_cell_length_c 16.4166
_cell_angle_alpha 90.00
_cell_angle_beta 90.00
_cell_angle_gamma 120.00
_symmetry_space_group_name_H-M 'R 3 m'
_symmetry_Int_Tables_number 160
_symmetry_space_group_name_Hall 'R 3 -2"'
loop_
_atom_site_label
_atom_site_type_symbol
_atom_site_fract_x
_atom_site_fract_y
_atom_site_fract_z
Al1 Al 0.0000 0.0000 0.0000
Al2 Al 0.0000 0.0000 0.1699
Ga1 Ga 0.0000 0.0000 0.5837
Ge1 Ge 0.0000 0.0000 0.7477

(4)
# PBE Al2GaGe, relaxed
# DOS at the Fermi energy ... 8.94 states/eV/cell
# Offset from the most stable computed form ... 81 meV/atom
# Electronic total energy ... -3.608 eV per atom
# Crystal system ... tetragonal
# Formation energy ... 174.5 meV/atom
data_Al2GaGe
_chemical_formula_sum 'Al8 Ga4 Ge4'
_cell_length_a 7.391
_cell_length_b 7.391
_cell_length_c 5.561
_cell_angle_alpha 90.00
_cell_angle_beta 90.00
_cell_angle_gamma 90.00
_symmetry_space_group_name_H-M 'I -4 2 d'
_symmetry_Int_Tables_number 122
_symmetry_space_group_name_Hall 'I -4 2bw'
loop_
_atom_site_label
_atom_site_type_symbol
_atom_site_fract_x
_atom_site_fract_y
_atom_site_fract_z
Al1 Al 0.228 0.250 0.125
Ga1 Ga 0.000 0.000 0.500
Ge1 Ge 0.000 0.000 0.000

(5)
# PBE AlGaGe3, relaxed
# DOS at the Fermi energy ... 2.96 states/eV/cell
# Offset from the most stable computed form ... 0 meV/atom
# Electronic total energy ... -3.551 eV per atom
# Crystal system ... cubic
# Formation energy ... 573.1 meV/atom
data_AlGaGe3
_chemical_formula_sum 'Al1 Ga1 Ge3'
_cell_length_a 4.906
_cell_length_b 4.906
_cell_length_c 4.906
_cell_angle_alpha 90.00
_cell_angle_beta 90.00
_cell_angle_gamma 90.00
_symmetry_space_group_name_H-M 'P m -3 m'
_symmetry_Int_Tables_number 221
_symmetry_space_group_name_Hall '-P 4 2 3'
loop_
_atom_site_label
_atom_site_type_symbol
_atom_site_fract_x
_atom_site_fract_y
_atom_site_fract_z
Al1 Al 0.000 0.000 0.000
Ga1 Ga 0.500 0.500 0.500
Ge1 Ge 0.000 0.000 0.500

(6)
# PBE Al3GaGe3, relaxed
# DOS at the Fermi energy ... 12.56 states/eV/cell
# Electronic total energy ... -3.682 eV per atom
# Crystal system ... cubic
# Formation energy ... 333.5 meV/atom
data_Al3GaGe3
_chemical_formula_sum 'Al6 Ga2 Ge6'
_cell_length_a 7.111
_cell_length_b 7.111
_cell_length_c 7.111
_cell_angle_alpha 90.00
_cell_angle_beta 90.00
_cell_angle_gamma 90.00
_symmetry_space_group_name_H-M 'P m -3 n'
_symmetry_Int_Tables_number 223
_symmetry_space_group_name_Hall '-P 4n 2 3'
loop_
_atom_site_label
_atom_site_type_symbol
_atom_site_fract_x
_atom_site_fract_y
_atom_site_fract_z
Al1 Al 0.000 0.250 0.500
Ga1 Ga 0.000 0.000 0.000
Ge1 Ge 0.000 0.500 0.250

(7)
# PBE Al2GaGe, relaxed
# DOS at the Fermi energy ... 1.24 states/eV/cell
# Offset from the most stable computed form ... 8 meV/atom
# Electronic total energy ... -3.681 eV per atom
# Crystal system ... tetragonal
# Formation energy ... 101.6 meV/atom
data_Al2GaGe
_chemical_formula_sum 'Al2 Ga1 Ge1'
_cell_length_a 4.182
_cell_length_b 4.182
_cell_length_c 4.024
_cell_angle_alpha 90.00
_cell_angle_beta 90.00
_cell_angle_gamma 90.00
_symmetry_space_group_name_H-M 'P 4/m m m'
_symmetry_Int_Tables_number 123
_symmetry_space_group_name_Hall '-P 4 2'
loop_
_atom_site_label
_atom_site_type_symbol
_atom_site_fract_x
_atom_site_fract_y
_atom_site_fract_z
Al1 Al 0.000 0.500 0.000
Ga1 Ga 0.000 0.000 0.500
Ge1 Ge 0.500 0.500 0.500

(8)
# PBE Al2GaGe, relaxed
# DOS at the Fermi energy ... 6.48 states/eV/cell
# Offset from the most stable computed form ... 42 meV/atom
# Electronic total energy ... -3.646 eV per atom
# Crystal system ... cubic
# Formation energy ... 136.1 meV/atom
data_Al2GaGe
_chemical_formula_sum 'Al8 Ga4 Ge4'
_cell_length_a 6.596
_cell_length_b 6.596
_cell_length_c 6.596
_cell_angle_alpha 90.00
_cell_angle_beta 90.00
_cell_angle_gamma 90.00
_symmetry_space_group_name_H-M 'F m -3 m'
_symmetry_Int_Tables_number 225
_symmetry_space_group_name_Hall '-F 4 2 3'
loop_
_atom_site_label
_atom_site_type_symbol
_atom_site_fract_x
_atom_site_fract_y
_atom_site_fract_z
Al1 Al 0.250 0.250 0.250
Ga1 Ga 0.000 0.000 0.000
Ge1 Ge 0.000 0.000 0.500

(9)
# PBE AlGa8Ge2, relaxed
# DOS at the Fermi energy ... 6.79 states/eV/cell
# Electronic total energy ... -3.273 eV per atom
# Crystal system ... monoclinic
# Formation energy ... 107.9 meV/atom
data_AlGa8Ge2
_chemical_formula_sum 'Al2 Ga16 Ge4'
_cell_length_a 10.677
_cell_length_b 8.327
_cell_length_c 5.065
_cell_angle_alpha 90.00
_cell_angle_beta 93.95
_cell_angle_gamma 90.00
_symmetry_space_group_name_H-M 'C 1 2/m 1'
_symmetry_Int_Tables_number 12
loop_
_symmetry_equiv_pos_as_xyz
'x,y,z'
'-x,-y,-z'
'-x,y,-z'
'x,-y,z'
'x+1/2,y+1/2,z'
'-x+1/2,-y+1/2,-z'
'-x+1/2,y+1/2,-z'
'x+1/2,-y+1/2,z'
loop_
_atom_site_label
_atom_site_type_symbol
_atom_site_fract_x
_atom_site_fract_y
_atom_site_fract_z
Al1 Al 0.000 0.000 0.000
Ga1 Ga 0.081 0.279 0.792
Ga2 Ga 0.111 0.500 0.338
Ga3 Ga 0.249 0.500 0.898
Ge1 Ge 0.134 0.000 0.553

(10)
# PBE Al3Ga3Ge, relaxed
# DOS at the Fermi energy ... 16.21 states/eV/cell
# Electronic total energy ... -2.886 eV per atom
# Crystal system ... cubic
# Formation energy ... 674.3 meV/atom
data_Al3Ga3Ge
_chemical_formula_sum 'Al6 Ga6 Ge2'
_cell_length_a 7.119
_cell_length_b 7.119
_cell_length_c 7.119
_cell_angle_alpha 90.00
_cell_angle_beta 90.00
_cell_angle_gamma 90.00
_symmetry_space_group_name_H-M 'P m -3 n'
_symmetry_Int_Tables_number 223
_symmetry_space_group_name_Hall '-P 4n 2 3'
loop_
_atom_site_label
_atom_site_type_symbol
_atom_site_fract_x
_atom_site_fract_y
_atom_site_fract_z
Al1 Al 0.000 0.250 0.500
Ga1 Ga 0.000 0.500 0.250
Ge1 Ge 0.000 0.000 0.000

(11)
# PBE Al5Ga12Ge3, relaxed
# DOS at the Fermi energy ... 69.87 states/eV/cell
# Electronic total energy ... -3.242 eV per atom
# Crystal system ... cubic
# Formation energy ... 202.4 meV/atom
data_Al5Ga12Ge3
_chemical_formula_sum 'Al40 Ga96 Ge24'
_cell_length_a 15.304
_cell_length_b 15.304
_cell_length_c 15.304
_cell_angle_alpha 90.00
_cell_angle_beta 90.00
_cell_angle_gamma 90.00
_symmetry_space_group_name_H-M 'I a -3 d'
_symmetry_Int_Tables_number 230
_symmetry_space_group_name_Hall '-I 4bd 2c 3'
loop_
_atom_site_label
_atom_site_type_symbol
_atom_site_fract_x
_atom_site_fract_y
_atom_site_fract_z
Al1 Al 0.000 0.000 0.000
Al2 Al 0.000 0.250 0.375
Ga1 Ga 0.019 0.081 0.651
Ge1 Ge 0.000 0.250 0.125

(12)
# PBE Al2GaGe, relaxed
# DOS at the Fermi energy ... 4.06 states/eV/cell
# Offset from the most stable computed form ... 210 meV/atom
# Electronic total energy ... -3.478 eV per atom
# Crystal system ... trigonal
# Formation energy ... 304.2 meV/atom
data_Al2GaGe
_chemical_formula_sum 'Al6 Ga3 Ge3'
_cell_length_a 3.7392
_cell_length_b 3.7392
_cell_length_c 23.2969
_cell_angle_alpha 90.00
_cell_angle_beta 90.00
_cell_angle_gamma 120.00
_symmetry_space_group_name_H-M 'R -3 m'
_symmetry_Int_Tables_number 166
_symmetry_space_group_name_Hall '-R 3 2"'
loop_
_atom_site_label
_atom_site_type_symbol
_atom_site_fract_x
_atom_site_fract_y
_atom_site_fract_z
Al1 Al 0.0000 0.0000 0.1081
Ga1 Ga 0.0000 0.0000 0.0000
Ge1 Ge 0.0000 0.0000 0.5000

(13)
# PBE AlGaGe2H, relaxed
# DOS at the Fermi energy ... 2.34 states/eV/cell
# Electronic total energy ... -3.496 eV per atom
# Crystal system ... tetragonal
data_AlGaGe2H
_chemical_formula_sum 'Al1 Ga1 Ge2 H1'
_cell_length_a 4.151
_cell_length_b 4.151
_cell_length_c 4.585
_cell_angle_alpha 90.00
_cell_angle_beta 90.00
_cell_angle_gamma 90.00
_symmetry_space_group_name_H-M 'P 4/m m m'
_symmetry_Int_Tables_number 123
_symmetry_space_group_name_Hall '-P 4 2'
loop_
_atom_site_label
_atom_site_type_symbol
_atom_site_fract_x
_atom_site_fract_y
_atom_site_fract_z
Al1 Al 0.000 0.000 0.000
Ga1 Ga 0.500 0.500 0.000
Ge1 Ge 0.000 0.500 0.500
H1 H 0.500 0.500 0.500

(14)
# PBE HfAl2GaGe, relaxed
# DOS at the Fermi energy ... 3.92 states/eV/cell
# Electronic total energy ... -4.307 eV per atom
# Crystal system ... tetragonal
# Formation energy ... 710.1 meV/atom
data_HfAl2GaGe
_chemical_formula_sum 'Hf1 Al2 Ga1 Ge1'
_cell_length_a 4.701
_cell_length_b 4.701
_cell_length_c 4.913
_cell_angle_alpha 90.00
_cell_angle_beta 90.00
_cell_angle_gamma 90.00
_symmetry_space_group_name_H-M 'P 4/m m m'
_symmetry_Int_Tables_number 123
_symmetry_space_group_name_Hall '-P 4 2'
loop_
_atom_site_label
_atom_site_type_symbol
_atom_site_fract_x
_atom_site_fract_y
_atom_site_fract_z
Hf1 Hf 0.000 0.000 0.000
Al1 Al 0.000 0.500 0.500
Ga1 Ga 0.500 0.500 0.500
Ge1 Ge 0.500 0.500 0.000

(15)
# PBE AlGaHgGe, relaxed
# DOS at the Fermi energy ... 6.23 states/eV/cell
# Electronic total energy ... -2.729 eV per atom
# Crystal system ... cubic
# Formation energy ... 193.1 meV/atom
data_AlGaHgGe
_chemical_formula_sum 'Al4 Ga4 Hg4 Ge4'
_cell_length_a 6.899
_cell_length_b 6.899
_cell_length_c 6.899
_cell_angle_alpha 90.00
_cell_angle_beta 90.00
_cell_angle_gamma 90.00
_symmetry_space_group_name_H-M 'F -4 3 m'
_symmetry_Int_Tables_number 216
_symmetry_space_group_name_Hall 'F -4 2 3'
loop_
_atom_site_label
_atom_site_type_symbol
_atom_site_fract_x
_atom_site_fract_y
_atom_site_fract_z
Al1 Al 0.000 0.000 0.000
Ga1 Ga 0.000 0.000 0.500
Hg1 Hg 0.250 0.250 0.250
Ge1 Ge 0.250 0.250 0.750

(16)
# PBE HoAlGaGe, relaxed
# DOS at the Fermi energy ... 2.89 states/eV/cell
# Electronic total energy ... -4.425 eV per atom
# Crystal system ... tetragonal
# Formation energy ... -433.4 meV/atom
data_HoAlGaGe
_chemical_formula_sum 'Ho2 Al2 Ga2 Ge2'
_cell_length_a 4.035
_cell_length_b 4.035
_cell_length_c 9.636
_cell_angle_alpha 90.00
_cell_angle_beta 90.00
_cell_angle_gamma 90.00
_symmetry_space_group_name_H-M 'P 4/n m m'
_symmetry_Int_Tables_number 129
loop_
_symmetry_equiv_pos_as_xyz
'x,y,z'
'-x,-y,-z'
'-y+1/2,x,z'
'y+1/2,-x,-z'
'-x+1/2,-y+1/2,z'
'x+1/2,y+1/2,-z'
'y,-x+1/2,z'
'-y,x+1/2,-z'
'x+1/2,-y,-z'
'-x+1/2,y,z'
'-y,-x,-z'
'y,x,z'
'-x,y+1/2,-z'
'x,-y+1/2,z'
'y+1/2,x+1/2,-z'
'-y+1/2,-x+1/2,z'
loop_
_atom_site_label
_atom_site_type_symbol
_atom_site_fract_x
_atom_site_fract_y
_atom_site_fract_z
Ho1 Ho 0.250 0.250 0.247
Al1 Al 0.250 0.750 0.500
Ga1 Ga 0.250 0.750 0.000
Ge1 Ge 0.250 0.250 0.726

(17)
# PBE Ho2AlGaGe, relaxed
# DOS at the Fermi energy ... 3.17 states/eV/cell
# Electronic total energy ... -4.705 eV per atom
# Crystal system ... monoclinic
# Formation energy ... -596.3 meV/atom
data_Ho2AlGaGe
_chemical_formula_sum 'Ho4 Al2 Ga2 Ge2'
_cell_length_a 7.165
_cell_length_b 4.282
_cell_length_c 7.492
_cell_angle_alpha 90.00
_cell_angle_beta 90.02
_cell_angle_gamma 90.00
_symmetry_space_group_name_H-M 'P 1 21/m 1'
_symmetry_Int_Tables_number 11
loop_
_symmetry_equiv_pos_as_xyz
'x,y,z'
'-x,-y,-z'
'-x,y+1/2,-z'
'x,-y+1/2,z'
loop_
_atom_site_label
_atom_site_type_symbol
_atom_site_fract_x
_atom_site_fract_y
_atom_site_fract_z
Ho1 Ho 0.002 0.250 0.225
Ho2 Ho 0.498 0.250 0.226
Al1 Al 0.249 0.250 0.583
Ga1 Ga 0.250 0.750 0.401
Ge1 Ge 0.250 0.250 0.915

(18)
# PBE K2AlGa4Ge3, relaxed
# DOS at the Fermi energy ... 2.57 states/eV/cell
# Electronic total energy ... -3.307 eV per atom
# Crystal system ... tetragonal
# Formation energy ... -117.4 meV/atom
data_K2AlGa4Ge3
_chemical_formula_sum 'K2 Al1 Ga4 Ge3'
_cell_length_a 4.595
_cell_length_b 4.595
_cell_length_c 10.763
_cell_angle_alpha 90.00
_cell_angle_beta 90.00
_cell_angle_gamma 90.00
_symmetry_space_group_name_H-M 'P -4 m 2'
_symmetry_Int_Tables_number 115
loop_
_symmetry_equiv_pos_as_xyz
'x,y,z'
'y,-x,-z'
'-x,-y,z'
'-y,x,-z'
'-x,y,z'
'-y,-x,-z'
'x,-y,z'
'y,x,-z'
loop_
_atom_site_label
_atom_site_type_symbol
_atom_site_fract_x
_atom_site_fract_y
_atom_site_fract_z
K1 K 0.000 0.500 0.246
Al1 Al 0.000 0.000 0.500
Ga1 Ga 0.000 0.000 0.000
Ga2 Ga 0.000 0.500 0.632
Ga3 Ga 0.500 0.500 0.000
Ge1 Ge 0.000 0.500 0.873
Ge2 Ge 0.500 0.500 0.500

(19)
# PBE MgAlGaGe, relaxed
# DOS at the Fermi energy ... 1.85 states/eV/cell
# Electronic total energy ... -3.260 eV per atom
# Crystal system ... orthorhombic
# Formation energy ... -14.4 meV/atom
data_MgAlGaGe
_chemical_formula_sum 'Mg1 Al1 Ga1 Ge1'
_cell_length_a 4.053
_cell_length_b 4.255
_cell_length_c 4.264
_cell_angle_alpha 90.00
_cell_angle_beta 90.00
_cell_angle_gamma 90.00
_symmetry_space_group_name_H-M 'P m m m'
_symmetry_Int_Tables_number 47
loop_
_symmetry_equiv_pos_as_xyz
'x,y,z'
'-x,-y,-z'
'-x,-y,z'
'x,y,-z'
'x,-y,-z'
'-x,y,z'
'-x,y,-z'
'x,-y,z'
loop_
_atom_site_label
_atom_site_type_symbol
_atom_site_fract_x
_atom_site_fract_y
_atom_site_fract_z
Mg1 Mg 0.000 0.000 0.000
Al1 Al 0.000 0.500 0.500
Ga1 Ga 0.500 0.000 0.500
Ge1 Ge 0.500 0.500 0.000

(20)
# PBE MgAlGaGe, relaxed
# DOS at the Fermi energy ... 1.35 states/eV/cell
# Electronic total energy ... -3.251 eV per atom
# Crystal system ... orthorhombic
# Formation energy ... -6.0 meV/atom
data_MgAlGaGe
_chemical_formula_sum 'Mg1 Al1 Ga1 Ge1'
_cell_length_a 3.038
_cell_length_b 3.914
_cell_length_c 6.253
_cell_angle_alpha 90.00
_cell_angle_beta 90.00
_cell_angle_gamma 90.00
_symmetry_space_group_name_H-M 'P m m 2'
_symmetry_Int_Tables_number 25
loop_
_symmetry_equiv_pos_as_xyz
'x,y,z'
'-x,-y,z'
'-x,y,z'
'x,-y,z'
loop_
_atom_site_label
_atom_site_type_symbol
_atom_site_fract_x
_atom_site_fract_y
_atom_site_fract_z
Mg1 Mg 0.000 0.000 0.000
Al1 Al 0.000 0.000 0.503
Ga1 Ga 0.500 0.500 0.268
Ge1 Ge 0.500 0.500 0.729